No. 1
# ErZn2Sn

A relaxed ErZn2Sn crystal (PBE-GGA, the Alexandria database).

```
4
Lattice="4.377 0.000 0.000 0.000 4.323 0.000 0.000 0.000 4.323" Properties=species:S:1:pos:R:3 pbc="T T T"
Zn 0.000 0.000 2.162
Zn 0.000 2.162 0.000
Sn 2.188 0.000 0.000
Er 2.188 2.162 2.162
```

Summary:
- ΔH_f (0 K) (eV per atom) = -0.3790
- calculated total energy (eV per atom) = -3.16
- symmetry = P4/mmm, No. 123

No. 2
# Ba4GaBr2

A relaxed Ba4GaBr2 crystal (PBE-GGA, the Alexandria database).

```
14
Lattice="4.742 0.000 0.000 0.000 7.955 0.000 0.000 0.000 16.947" Properties=species:S:1:pos:R:3 pbc="T T T"
Br 2.371 7.827 12.852
Br 2.371 0.129 4.096
Br 2.371 3.849 12.569
Br 2.371 4.106 4.378
Ba 0.000 5.741 14.158
Ba 0.000 2.214 2.789
Ba 0.000 1.764 11.263
Ba 0.000 6.192 5.685
Ba 2.371 5.966 9.793
Ba 2.371 1.989 7.154
Ba 2.371 5.967 1.320
Ba 2.371 1.988 15.627
Ga 0.000 0.000 8.474
Ga 0.000 3.978 0.000
```

Summary:
- ΔE_f (raw) (eV per formula unit) = -7.0
- calculated total energy (eV per atom) = -3.00
- symmetry = Pbam, No. 55

No. 3
# MgMnTeI2

A relaxed MgMnTeI2 crystal (PBE-GGA, the Alexandria database).

```
5
Lattice="-2.689 -0.928 4.763 -4.362 -1.922 -2.838 1.879 -4.528 0.179" Properties=species:S:1:pos:R:3 pbc="T T T"
I -2.181 -0.961 -1.419
I -1.345 -0.464 2.381
Mg -2.586 -3.689 1.052
Te 0.939 -2.264 0.089
Mn 0.000 0.000 0.000
```

Summary:
- ΔE_f (raw) (eV per formula unit) = 1.5
- calculated total energy (eV per atom) = -3.11
- symmetry = P4/mmm, No. 123
- energy above the most stable polymorph in this dataset (meV/atom) = 149

No. 4
# VSbH

A relaxed VSbH crystal (PBE-GGA, the Alexandria database).

```
3
Lattice="-1.393 3.355 0.870 -2.006 -1.464 2.431 3.189 1.112 0.817" Properties=species:S:1:pos:R:3 pbc="T T T"
Sb 0.529 2.490 1.935
H -0.232 0.559 0.145
V -0.506 -0.046 2.038
```

Summary:
- calculated total energy (eV per atom) = -5.51
- symmetry = P-6m2, No. 187
- energy above the most stable polymorph in this dataset (meV/atom) = 131

No. 5
# PtNF2

A relaxed PtNF2 crystal (PBE-GGA, the Alexandria database).

```
4
Lattice="3.742 -6.373 3.195 5.850 -4.837 2.683 4.483 -4.509 4.939" Properties=species:S:1:pos:R:3 pbc="T T T"
N 0.000 0.000 0.000
Pt 7.037 -7.859 5.408
F 13.110 -14.641 10.075
F 0.965 -1.078 0.742
```

Summary:
- ΔE_f (raw) (eV per formula unit) = 3.7
- calculated total energy (eV per atom) = -3.60
- symmetry = R-3m, No. 166
- energy above the most stable polymorph in this dataset (meV/atom) = 221

No. 6
# YCoW2

A relaxed YCoW2 crystal (PBE-GGA, the Alexandria database).

```
4
Lattice="5.541 -0.001 0.007 -2.948 4.692 0.007 0.476 0.861 2.645" Properties=species:S:1:pos:R:3 pbc="T T T"
Co -1.236 2.777 1.326
W 0.000 0.000 0.000
W 1.297 2.346 0.007
Y 3.009 0.430 1.326
```

Summary:
- ΔH_f (0 K) (eV per atom) = 0.5648
- calculated total energy (eV per atom) = -9.30
- symmetry = C2/m, No. 12
- energy above the most stable polymorph in this dataset (meV/atom) = 286

No. 7
# BaVI3

A relaxed BaVI3 crystal (PBE-GGA, the Alexandria database).

```
5
Lattice="6.690 0.000 0.000 0.000 6.690 0.000 0.000 0.000 6.690" Properties=species:S:1:pos:R:3 pbc="T T T"
I 0.000 3.345 0.000
I 0.000 0.000 3.345
I 3.345 0.000 0.000
Ba 0.000 0.000 0.000
V 3.345 3.345 3.345
```

Summary:
- ΔE_f (raw) (eV per formula unit) = -0.8
- calculated total energy (eV per atom) = -3.30
- symmetry = Pm-3m, No. 221
- energy above the most stable polymorph in this dataset (meV/atom) = 579

No. 8
# ZrFeOs2

A relaxed ZrFeOs2 crystal (PBE-GGA, the Alexandria database).

```
4
Lattice="-7.596 1.273 -5.389 -7.904 -1.444 -4.878 -8.875 0.431 -3.067" Properties=species:S:1:pos:R:3 pbc="T T T"
Fe -18.104 0.194 -9.903
Os -0.037 0.000 -0.020
Os -6.278 0.067 -3.434
Zr -12.144 0.130 -6.643
```

Summary:
- ΔH_f (0 K) (eV per atom) = 0.2972
- calculated total energy (eV per atom) = -9.57
- symmetry = R3m, No. 160
- energy above the most stable polymorph in this dataset (meV/atom) = 302

No. 9
# Zr5ZnCd4

A relaxed Zr5ZnCd4 crystal (PBE-GGA, the Alexandria database).

```
10
Lattice="-0.217 -2.488 -2.388 -2.231 -1.723 1.998 -13.526 8.578 -7.706" Properties=species:S:1:pos:R:3 pbc="T T T"
Zr -2.447 -1.330 -0.891
Zr -5.213 0.424 -2.467
Zr -7.987 2.184 -4.048
Zr -10.762 3.943 -5.628
Zr -13.528 5.697 -7.204
Zn 0.000 0.000 0.000
Cd -2.610 1.655 -1.487
Cd -5.378 3.410 -3.064
Cd -8.149 5.168 -4.642
Cd -10.916 6.923 -6.219
```

Summary:
- ΔH_f (0 K) (eV per atom) = -0.1065
- calculated total energy (eV per atom) = -4.87
- symmetry = P4/mmm, No. 123

No. 10
# LiTeOs2

A relaxed LiTeOs2 crystal (PBE-GGA, the Alexandria database).

```
4
Lattice="2.803 -0.025 0.000 -1.333 2.467 0.000 0.000 0.000 9.766" Properties=species:S:1:pos:R:3 pbc="T T T"
Li 0.735 1.221 7.325
Os 0.000 0.000 9.597
Os 0.000 0.000 5.053
Te 0.735 1.221 2.442
```

Summary:
- ΔE_f (raw) (eV per formula unit) = 3.9
- calculated total energy (eV per atom) = -5.89
- symmetry = Cmmm, No. 65

No. 11
# K2SnHg3

A relaxed K2SnHg3 crystal (PBE-GGA, the Alexandria database).

```
6
Lattice="-4.248 0.882 2.896 -2.181 -5.559 3.193 1.370 1.574 6.228" Properties=species:S:1:pos:R:3 pbc="T T T"
K -1.829 0.587 6.534
K -3.223 -3.622 5.772
Sn -1.248 -1.631 3.364
Hg -3.900 -1.460 8.818
Hg -3.880 -0.428 3.835
Hg -1.096 -2.754 8.627
```

Summary:
- ΔH_f (0 K) (eV per atom) = -0.2624
- calculated total energy (eV per atom) = -1.45
- symmetry = Cm, No. 8
- energy above the most stable polymorph in this dataset (meV/atom) = 0

No. 12
# ScZn3As

A relaxed ScZn3As crystal (PBE-GGA, the Alexandria database).

```
5
Lattice="-2.518 -2.075 -3.529 0.581 -4.282 2.104 -4.052 0.675 2.495" Properties=species:S:1:pos:R:3 pbc="T T T"
Sc -2.995 -2.841 0.535
As 0.000 0.000 0.000
Zn 0.291 -2.141 1.052
Zn -2.026 0.338 1.247
Zn -1.259 -1.038 -1.764
```

Summary:
- ΔH_f (0 K) (eV per atom) = 0.4018
- calculated total energy (eV per atom) = -2.56
- symmetry = Pm-3m, No. 221
- energy above the most stable polymorph in this dataset (meV/atom) = 0

What did the fifth record say?
# PtNF2

A relaxed PtNF2 crystal (PBE-GGA, the Alexandria database).

```
4
Lattice="3.742 -6.373 3.195 5.850 -4.837 2.683 4.483 -4.509 4.939" Properties=species:S:1:pos:R:3 pbc="T T T"
N 0.000 0.000 0.000
Pt 7.037 -7.859 5.408
F 13.110 -14.641 10.075
F 0.965 -1.078 0.742
```

Summary:
- ΔE_f (raw) (eV per formula unit) = 3.7
- calculated total energy (eV per atom) = -3.60
- symmetry = R-3m, No. 166
- energy above the most stable polymorph in this dataset (meV/atom) = 221